Density functional theory data (PBE) for an optimized crystal structure of CeTm4Ge4.

Results
E_form	-13.27	kcal/mol of atoms
total moment	1.9	μB per cell
uncorrected energy	-47.47	eV per formula unit
DOS at the Fermi energy	8.246	states/eV/f.u.

a = 9.235 Å, b = 9.235 Å, c = 5.725 Å
α = 90.00°, β = 90.00°, γ = 90.00°
Space group I4/m (No. 87)
Symmetry-distinct sites (fractional):
Ce 0.000 0.000 0.000 [2 per cell]
Tm 0.103 0.686 0.500 [8 per cell]
Ge 0.108 0.703 0.000 [8 per cell]

***

Density functional theory data (PBE) for an optimized crystal structure of SmFe4Ru.

Results
E_form	2.86	kcal/mol of atoms
total moment	43.4	μB per cell
uncorrected energy	-47.10	eV per formula unit
DOS at the Fermi energy	6.395	states/eV/f.u.

a = 7.094 Å, b = 7.094 Å, c = 7.094 Å
α = 90.00°, β = 90.00°, γ = 90.00°
Space group F-43m (No. 216)
Symmetry-distinct sites (fractional):
Sm 0.000 0.000 0.000 [4 per cell]
Fe 0.124 0.124 0.376 [16 per cell]
Ru 0.250 0.250 0.750 [4 per cell]